(1)
# NbAlSbW2

A relaxed structure of NbAlSbW2 (PBE-GGA, Alexandria).

## Properties
- density (g/cm3) = 9.748
- DFT total energy (eV for the cell shown) = -34.8
- space-group type = P4/mmm (123)
- ΔE_f (raw) (eV per atom) = 1.81

abc: 4.5836 4.9403 4.5836
angles: 90.00 90.00 90.00
Positions (direct):
Sb 0.0000 0.5000 0.0000
Nb 0.5000 0.5000 0.5000
Al 0.0000 0.0000 0.0000
W 0.0000 0.0000 0.5000
W 0.5000 0.0000 0.0000

(2)
# TiRePtRh2

A relaxed structure of TiRePtRh2 (PBE-GGA, Alexandria).

## Properties
- density (g/cm3) = 11.425
- DFT total energy (eV for the cell shown) = -35.6
- space-group type = P4/mmm (123)
- energy of formation (eV/atom) = 1.102

abc: 4.4292 4.7041 4.4292
angles: 90.00 90.00 90.00
Positions (direct):
Re 0.5000 0.5000 0.5000
Rh 0.0000 0.0000 0.5000
Rh 0.5000 0.0000 0.0000
Pt 0.0000 0.5000 0.0000
Ti 0.0000 0.0000 0.0000

- Among the records above, which one has the highest density?
  TiRePtRh2

- DFT total energy of number 1 (NbAlSbW2)?
  -34.8 eV for the cell shown

- Among the records above, which one has the highest density?
  TiRePtRh2